{
  "formula": "DyInAgPt",
  "functional": "PBE-GGA",
  "state": "optimized geometry",
  "ef_ev_per_atom": -0.66,
  "vol_a3_per_atom": 20.44,
  "lattice": [[0.000, 3.445, 3.445], [3.445, 0.000, 3.445], [3.445, 3.445, 0.000]],
  "species": ["Dy", "In", "Ag", "Pt"],
  "frac_coords": [[0.000, 0.000, 0.000], [0.500, 0.500, 0.500], [0.750, 0.750, 0.750], [0.250, 0.250, 0.250]]
}

=====

{
  "formula": "Er4Te3Pb",
  "functional": "PBE-GGA",
  "state": "optimized geometry",
  "vol_a3_per_atom": 29.22,
  "raw_formation_energy_ev_per_atom": -1.07,
  "lattice": [[7.522, 0.000, 0.000], [0.000, 8.739, 0.000], [-2.544, 0.000, 7.111]],
  "species": ["Er", "Er", "Er", "Er", "Er", "Er", "Er", "Er", "Te", "Te", "Te", "Te", "Te", "Te", "Pb", "Pb"],
  "frac_coords": [[0.244, 0.121, 0.001], [0.244, 0.879, 0.501], [0.246, 0.370, 0.494], [0.246, 0.630, 0.994], [0.754, 0.370, 0.006], [0.754, 0.630, 0.506], [0.756, 0.121, 0.499], [0.756, 0.879, 0.999], [0.000, 0.376, 0.750], [0.000, 0.624, 0.250], [0.500, 0.127, 0.750], [0.500, 0.377, 0.250], [0.500, 0.623, 0.750], [0.500, 0.873, 0.250], [0.000, 0.125, 0.250], [0.000, 0.875, 0.750]]
}

=====

{
  "formula": "Ga3GeAu",
  "functional": "PBE-GGA",
  "state": "optimized geometry",
  "de_polymorph_mev_per_atom": 0.0,
  "ef_ev_per_atom": 0.35,
  "vol_a3_per_atom": 24.64,
  "lattice": [[4.976, 0.000, 0.000], [0.000, 4.976, 0.000], [0.000, 0.000, 4.976]],
  "species": ["Ga", "Ga", "Ga", "Ge", "Au"],
  "frac_coords": [[0.000, 0.000, 0.500], [0.000, 0.500, 0.000], [0.500, 0.000, 0.000], [0.500, 0.500, 0.500], [0.000, 0.000, 0.000]]
}